[1]
Below is LaDyN2 after structural relaxation, with properties calculated at the PBE level.

Geometry as POSCAR:
```
LaDyN2
1.0
1.7691 1.0214 6.1763
-1.7691 1.0214 6.1763
0.0000 -2.0428 6.1763
La Dy N
1 1 2
Direct
0.0000 0.0000 0.0000
0.8300 0.8300 0.8300
0.4083 0.4083 0.4083
0.5675 0.5675 0.5675
```

## Properties
Density = 8.17 Mg/m³
Energy = -7.798 eV/atom

---

[2]
Below is Sr2ZnBr after structural relaxation, with properties calculated at the PBE level.

Geometry as POSCAR:
```
Sr2ZnBr
1.0
4.0704 0.0000 0.0000
0.0000 3.9294 0.0000
-0.1026 0.0000 8.8084
Sr Zn Br
2 1 1
Direct
0.0051 0.0000 0.2154
0.9949 0.0000 0.7846
0.5000 0.5000 0.0000
0.0000 0.5000 0.5000
```

## Properties
Density = 3.78 Mg/m³
Energy = -2.368 eV/atom

---

[3]
Below is Rb3Hg12Au5 after structural relaxation, with properties calculated at the PBE level.

Geometry as POSCAR:
```
Rb3Hg12Au5
1.0
-9.1113 9.1113 9.1113
9.1113 -9.1113 9.1113
9.1113 9.1113 -9.1113
Rb Hg Au
12 48 20
Direct
0.1250 0.2500 0.3750
0.1250 0.3750 0.7500
0.2500 0.3750 0.1250
0.2500 0.8750 0.6250
0.3750 0.1250 0.2500
0.3750 0.7500 0.1250
0.6250 0.2500 0.8750
0.6250 0.8750 0.7500
0.7500 0.1250 0.3750
0.7500 0.6250 0.8750
0.8750 0.6250 0.2500
0.8750 0.7500 0.6250
0.0053 0.6911 0.0601
0.0053 0.8142 0.9452
0.0548 0.5601 0.8690
0.0548 0.9947 0.1858
0.0601 0.0053 0.6911
0.0601 0.5548 0.3690
0.1310 0.6858 0.6911
0.1310 0.9452 0.4399
0.1858 0.0548 0.9947
0.1858 0.6310 0.1911
0.1911 0.1858 0.6310
0.1911 0.5053 0.5601
0.3089 0.8690 0.3142
0.3089 0.9399 0.9947
0.3142 0.3089 0.8690
0.3142 0.5053 0.4452
0.3690 0.0601 0.5548
0.3690 0.8089 0.8142
0.4399 0.1310 0.9452
0.4399 0.8089 0.4947
0.4452 0.3142 0.5053
0.4452 0.6310 0.9399
0.4947 0.4399 0.8089
0.4947 0.5548 0.6858
0.5053 0.4452 0.3142
0.5053 0.5601 0.1911
0.5548 0.3690 0.0601
0.5548 0.6858 0.4947
0.5601 0.1911 0.5053
0.5601 0.8690 0.0548
0.6310 0.1911 0.1858
0.6310 0.9399 0.4452
0.6858 0.4947 0.5548
0.6858 0.6911 0.1310
0.6911 0.0601 0.0053
0.6911 0.1310 0.6858
0.8089 0.4947 0.4399
0.8089 0.8142 0.3690
0.8142 0.3690 0.8089
0.8142 0.9452 0.0053
0.8690 0.0548 0.5601
0.8690 0.3142 0.3089
0.9399 0.4452 0.6310
0.9399 0.9947 0.3089
0.9452 0.0053 0.8142
0.9452 0.4399 0.1310
0.9947 0.1858 0.0548
0.9947 0.3089 0.9399
0.0000 0.0000 0.0000
0.0000 0.0000 0.5000
0.0000 0.5000 0.0000
0.0000 0.5000 0.5000
0.1250 0.7500 0.8750
0.1250 0.8750 0.2500
0.2500 0.1250 0.8750
0.2500 0.6250 0.3750
0.3750 0.2500 0.6250
0.3750 0.6250 0.7500
0.5000 0.0000 0.0000
0.5000 0.0000 0.5000
0.5000 0.5000 0.0000
0.5000 0.5000 0.5000
0.6250 0.3750 0.2500
0.6250 0.7500 0.3750
0.7500 0.3750 0.6250
0.7500 0.8750 0.1250
0.8750 0.1250 0.7500
0.8750 0.2500 0.1250
```

## Properties
Density = 8.01 Mg/m³
Energy of formation = -0.0468 eV/atom
Energy = -1.192 eV/atom

---

[4]
Below is ReW2Cl after structural relaxation, with properties calculated at the PBE level.

Geometry as POSCAR:
```
ReW2Cl
1.0
4.6920 0.0000 0.0000
0.0000 4.6920 0.0000
0.0000 0.0000 2.8404
Re W Cl
1 2 1
Direct
0.0000 0.0000 0.0000
0.0000 0.5000 0.5000
0.5000 0.0000 0.5000
0.5000 0.5000 0.0000
```

## Properties
Density = 15.65 Mg/m³
Energy = -9.136 eV/atom

---

[5]
Below is Pr5Nd3In2 after structural relaxation, with properties calculated at the PBE level.

Geometry as POSCAR:
```
Pr5Nd3In2
1.0
-6.6742 7.7898 3.3620
6.6742 -7.7898 3.3620
6.6742 7.7898 -3.3620
Pr Nd In
10 6 4
Direct
0.1611 0.1244 0.2855
0.2500 0.9996 0.7496
0.2500 0.2500 0.0000
0.2500 0.5004 0.2504
0.3389 0.6244 0.9633
0.6611 0.3756 0.0367
0.7500 0.0004 0.2504
0.7500 0.4996 0.7496
0.7500 0.7500 0.0000
0.8389 0.8756 0.7145
0.2380 0.3849 0.6229
0.2500 0.7500 0.5000
0.2620 0.8849 0.1469
0.7380 0.1151 0.8531
0.7500 0.2500 0.5000
0.7620 0.6151 0.3771
0.1458 0.6284 0.7742
0.3542 0.1284 0.4825
0.6458 0.8716 0.5175
0.8542 0.3716 0.2258
```

## Properties
Density = 6.49 Mg/m³
Energy of formation = 0.0556 eV/atom
Energy = -4.312 eV/atom

---

[6]
Below is HIrC2N after structural relaxation, with properties calculated at the PBE level.

Geometry as POSCAR:
```
HIrC2N
1.0
3.9153 0.0000 0.0000
0.0000 3.9153 0.0000
0.0000 0.0000 2.5617
H Ir C N
1 1 2 1
Direct
0.0000 0.0000 0.0000
0.5000 0.5000 0.5000
0.0000 0.5000 0.0000
0.5000 0.0000 0.0000
0.0000 0.0000 0.5000
```

## Properties
Density = 9.78 Mg/m³
Energy = -5.319 eV/atom

---

[7]
Below is HoNbCd2O6 after structural relaxation, with properties calculated at the PBE level.

Geometry as POSCAR:
```
HoNbCd2O6
1.0
5.6194 0.0000 0.0000
0.0000 5.7611 0.0000
-5.5545 0.0000 8.1926
Ho Nb Cd O
2 2 4 12
Direct
0.0000 0.0000 0.0000
0.0000 0.5000 0.5000
0.5000 0.0000 0.5000
0.5000 0.5000 0.0000
0.2539 0.0427 0.7491
0.2539 0.4573 0.2491
0.7461 0.5427 0.7509
0.7461 0.9573 0.2509
0.1540 0.0601 0.2643
0.1540 0.4399 0.7643
0.2542 0.6737 0.0546
0.2542 0.8263 0.5546
0.3986 0.2023 0.0656
0.3986 0.2977 0.5656
0.6014 0.7023 0.4344
0.6014 0.7977 0.9344
0.7458 0.1737 0.4454
0.7458 0.3263 0.9454
0.8460 0.5601 0.2357
0.8460 0.9399 0.7357
```

## Properties
Density = 7.25 Mg/m³
Energy = -6.832 eV/atom

---

[8]
Below is Cs2Tl2S after structural relaxation, with properties calculated at the PBE level.

Geometry as POSCAR:
```
Cs2Tl2S
1.0
8.1098 0.0000 0.0000
0.0000 8.1098 0.0000
0.0000 0.0000 6.2344
Cs Tl S
4 4 2
Direct
0.1913 0.3087 0.0000
0.3087 0.8087 0.0000
0.6913 0.1913 0.0000
0.8087 0.6913 0.0000
0.1344 0.6344 0.5000
0.3656 0.1344 0.5000
0.6344 0.8656 0.5000
0.8656 0.3656 0.5000
0.0000 0.0000 0.5000
0.5000 0.5000 0.5000
```

## Properties
Density = 5.72 Mg/m³
Energy = -2.335 eV/atom